(1)
The following is a PBE calculation of a relaxed structure of KY3, from Alexandria via LeMat-Bulk.

abc: 6.394 6.394 6.959
angles: 97.94 97.94 32.14
Positions (direct):
K (0.000, 0.000, 0.000)
Y (0.239, 0.239, 0.711)
Y (0.500, 0.500, 0.500)
Y (0.761, 0.761, 0.289)

DFT formation energy: 0.40 eV/atom

(2)
The following is a PBE calculation of a relaxed structure of K5Y4, from Alexandria via LeMat-Bulk.

abc: 11.714 11.714 7.400
angles: 90.00 90.00 120.00
Positions (direct):
K (0.000, 0.380, 0.250)
K (0.000, 0.620, 0.750)
K (0.333, 0.667, 0.000)
K (0.333, 0.667, 0.500)
K (0.380, 0.000, 0.250)
K (0.380, 0.380, 0.750)
K (0.620, 0.000, 0.750)
K (0.620, 0.620, 0.250)
K (0.667, 0.333, 0.000)
K (0.667, 0.333, 0.500)
Y (0.000, 0.000, 0.000)
Y (0.000, 0.000, 0.500)
Y (0.000, 0.223, 0.750)
Y (0.000, 0.777, 0.250)
Y (0.223, 0.000, 0.750)
Y (0.223, 0.223, 0.250)
Y (0.777, 0.000, 0.250)
Y (0.777, 0.777, 0.750)

DFT formation energy: 0.51 eV/atom

(3)
The following is a PBE calculation of a relaxed structure of KY3, from Alexandria via LeMat-Bulk.

abc: 7.020 7.020 7.020
angles: 117.32 117.32 117.32
Positions (direct):
K (0.000, 0.000, 0.000)
Y (0.000, 0.500, 0.500)
Y (0.500, 0.000, 0.500)
Y (0.500, 0.500, 0.000)

DFT formation energy: 0.46 eV/atom

(4)
The following is a PBE calculation of a relaxed structure of KY3, from Alexandria via LeMat-Bulk.

abc: 3.644 3.645 11.538
angles: 90.00 90.07 90.00
Positions (direct):
K (0.000, 0.000, 0.000)
Y (0.000, 0.000, 0.500)
Y (0.499, 0.500, 0.295)
Y (0.501, 0.500, 0.705)

DFT formation energy: 0.24 eV/atom

(5)
The following is a PBE calculation of a relaxed structure of KY2, from Alexandria via LeMat-Bulk.

abc: 7.404 7.404 9.306
angles: 109.00 109.00 28.31
Positions (direct):
K (0.000, 0.000, 0.000)
K (0.633, 0.633, 0.331)
Y (0.026, 0.026, 0.609)
Y (0.317, 0.317, 0.657)
Y (0.358, 0.358, 0.282)
Y (0.724, 0.724, 0.908)

DFT formation energy: 0.44 eV/atom

(6)
The following is a PBE calculation of a relaxed structure of KY3, from Alexandria via LeMat-Bulk.

abc: 6.626 6.626 3.558
angles: 90.00 90.00 111.18
Positions (direct):
K (0.000, 0.000, 0.000)
Y (0.000, 0.500, 0.500)
Y (0.500, 0.000, 0.500)
Y (0.500, 0.500, 0.000)

DFT formation energy: 0.47 eV/atom

(7)
The following is a PBE calculation of a relaxed structure of KY4, from Alexandria via LeMat-Bulk.

abc: 5.548 5.548 5.548
angles: 90.00 90.00 90.00
Positions (direct):
K (0.000, 0.000, 0.000)
Y (0.000, 0.000, 0.500)
Y (0.000, 0.500, 0.000)
Y (0.500, 0.000, 0.000)
Y (0.500, 0.500, 0.500)

DFT formation energy: 1.01 eV/atom

(8)
The following is a PBE calculation of a relaxed structure of KY3, from Alexandria via LeMat-Bulk.

abc: 7.569 7.569 5.166
angles: 90.00 90.00 84.54
Positions (direct):
K (0.104, 0.896, 0.750)
K (0.896, 0.104, 0.250)
Y (0.155, 0.410, 0.750)
Y (0.385, 0.615, 0.250)
Y (0.410, 0.155, 0.250)
Y (0.590, 0.845, 0.750)
Y (0.615, 0.385, 0.750)
Y (0.845, 0.590, 0.250)

DFT formation energy: 0.38 eV/atom

(9)
The following is a PBE calculation of a relaxed structure of K4Y, from Alexandria via LeMat-Bulk.

abc: 7.396 7.396 7.396
angles: 90.00 90.00 90.00
Positions (direct):
K (0.000, 0.000, 0.000)
K (0.000, 0.500, 0.500)
K (0.500, 0.000, 0.500)
K (0.500, 0.500, 0.000)
Y (0.500, 0.500, 0.500)

DFT formation energy: 0.71 eV/atom

(10)
The following is a PBE calculation of a relaxed structure of K6Y7, from Alexandria via LeMat-Bulk.

abc: 14.194 14.194 14.194
angles: 28.96 28.96 28.96
Positions (direct):
K (0.047, 0.047, 0.047)
K (0.149, 0.149, 0.149)
K (0.333, 0.333, 0.333)
K (0.667, 0.667, 0.667)
K (0.851, 0.851, 0.851)
K (0.953, 0.953, 0.953)
Y (0.103, 0.591, 0.591)
Y (0.409, 0.409, 0.897)
Y (0.409, 0.897, 0.409)
Y (0.500, 0.500, 0.500)
Y (0.591, 0.103, 0.591)
Y (0.591, 0.591, 0.103)
Y (0.897, 0.409, 0.409)

DFT formation energy: 0.50 eV/atom

(11)
The following is a PBE calculation of a relaxed structure of K2YZn2, from Alexandria via LeMat-Bulk.

abc: 7.543 7.543 6.029
angles: 90.00 90.00 90.00
Positions (direct):
K (0.177, 0.323, 0.000)
K (0.323, 0.823, 0.000)
K (0.677, 0.177, 0.000)
K (0.823, 0.677, 0.000)
Y (0.000, 0.000, 0.500)
Y (0.500, 0.500, 0.500)
Zn (0.119, 0.619, 0.500)
Zn (0.381, 0.119, 0.500)
Zn (0.619, 0.881, 0.500)
Zn (0.881, 0.381, 0.500)

DFT formation energy: 0.23 eV/atom

(12)
The following is a PBE calculation of a relaxed structure of KYZn, from Alexandria via LeMat-Bulk.

abc: 5.279 5.279 5.279
angles: 60.00 60.00 60.00
Positions (direct):
K (0.000, 0.000, 0.000)
Y (0.500, 0.500, 0.500)
Zn (0.750, 0.750, 0.750)

DFT formation energy: 0.51 eV/atom

(13)
The following is a PBE calculation of a relaxed structure of K2YZn, from Alexandria via LeMat-Bulk.

abc: 5.850 5.850 5.850
angles: 119.93 119.93 90.12
Positions (direct):
K (0.000, 0.000, 0.000)
K (0.750, 0.250, 0.500)
Y (0.250, 0.750, 0.500)
Zn (0.500, 0.500, 0.000)

DFT formation energy: 0.53 eV/atom

(14)
The following is a PBE calculation of a relaxed structure of KY3Zn, from Alexandria via LeMat-Bulk.

abc: 5.426 5.426 5.426
angles: 90.00 90.00 90.00
Positions (direct):
K (0.000, 0.000, 0.000)
Y (0.000, 0.000, 0.500)
Y (0.000, 0.500, 0.000)
Y (0.500, 0.000, 0.000)
Zn (0.500, 0.500, 0.500)

DFT formation energy: 1.31 eV/atom

Spin magnetization across the listed records, respectively: 0.00, 0.00, 0.00, 0.00, 0.36, 1.57, 0.00, 0.00, 2.84, 0.00, 1.62, 0.31, 0.72, 0.00 μB per cell.